1.
The following is a DFT calculation (PBE) of a geometry-optimized Si2PPt structure.

Calculated values
- Spin magnetization: 0.00 μB/cell
- Calculated total energy: -45.46 eV per cell
- ΔE_f (raw): -0.11 eV/atom

The structure in CIF format:
```
data_Si2PPt
_space_group_name_H-M_alt 'I 4/m m m'
_space_group_IT_number 139
_space_group_name_Hall '-I 4 2'
_cell_length_a 4.995
_cell_length_b 4.995
_cell_length_c 5.004
_cell_angle_alpha 90.00
_cell_angle_beta 90.00
_cell_angle_gamma 90.00
loop_
_atom_site_label
_atom_site_type_symbol
_atom_site_fract_x
_atom_site_fract_y
_atom_site_fract_z
Si1 Si 0.000 0.500 0.000
P1 P 0.000 0.000 0.000
Pt1 Pt 0.000 0.000 0.500
```

2.
The following is a DFT calculation (PBE) of a geometry-optimized SiP2Pt structure.

Calculated values
- Relative energy among the computed polymorphs: 0.54 eV per formula unit
- Spin magnetization: 0.00 μB/cell
- Calculated total energy: -22.88 eV per cell
- ΔE_f (raw): -0.15 eV/atom

The structure in CIF format:
```
data_SiP2Pt
_space_group_name_H-M_alt 'P 4/m m m'
_space_group_IT_number 123
_space_group_name_Hall '-P 4 2'
_cell_length_a 3.532
_cell_length_b 3.532
_cell_length_c 4.921
_cell_angle_alpha 90.00
_cell_angle_beta 90.00
_cell_angle_gamma 90.00
loop_
_atom_site_label
_atom_site_type_symbol
_atom_site_fract_x
_atom_site_fract_y
_atom_site_fract_z
Si1 Si 0.000 0.000 0.000
P1 P 0.000 0.000 0.500
P2 P 0.500 0.500 0.000
Pt1 Pt 0.500 0.500 0.500
```

3.
The following is a DFT calculation (PBE) of a geometry-optimized SiPPt structure.

Calculated values
- Relative energy among the computed polymorphs: 0.83 eV per formula unit
- Spin magnetization: 0.00 μB/cell
- Calculated total energy: -70.86 eV per cell
- ΔE_f (raw): -0.28 eV/atom

The structure in CIF format:
```
data_SiPPt
_space_group_name_H-M_alt 'P n m a'
_space_group_IT_number 62
_cell_length_a 7.210
_cell_length_b 3.327
_cell_length_c 8.131
_cell_angle_alpha 90.00
_cell_angle_beta 90.00
_cell_angle_gamma 90.00
loop_
_space_group_symop_operation_xyz
'x,y,z'
'-x,-y,-z'
'-x+1/2,-y,z+1/2'
'x+1/2,y,-z+1/2'
'x+1/2,-y+1/2,-z+1/2'
'-x+1/2,y+1/2,z+1/2'
'-x,y+1/2,-z'
'x,-y+1/2,z'
loop_
_atom_site_label
_atom_site_type_symbol
_atom_site_fract_x
_atom_site_fract_y
_atom_site_fract_z
Si1 Si 0.052 0.250 0.138
P1 P 0.038 0.750 0.343
Pt1 Pt 0.247 0.250 0.495
```

4.
The following is a DFT calculation (PBE) of a geometry-optimized Si2PPt structure.

Calculated values
- Spin magnetization: 0.00 μB/cell
- Calculated total energy: -44.53 eV per cell
- ΔE_f (raw): 0.01 eV/atom

The structure in CIF format:
```
data_Si2PPt
_space_group_name_H-M_alt 'I m m 2'
_space_group_IT_number 44
_cell_length_a 3.171
_cell_length_b 3.236
_cell_length_c 12.111
_cell_angle_alpha 90.00
_cell_angle_beta 90.00
_cell_angle_gamma 90.00
loop_
_space_group_symop_operation_xyz
'x,y,z'
'-x,-y,z'
'-x,y,z'
'x,-y,z'
'x+1/2,y+1/2,z+1/2'
'-x+1/2,-y+1/2,z+1/2'
'-x+1/2,y+1/2,z+1/2'
'x+1/2,-y+1/2,z+1/2'
loop_
_atom_site_label
_atom_site_type_symbol
_atom_site_fract_x
_atom_site_fract_y
_atom_site_fract_z
Si1 Si 0.000 0.000 0.000
Si2 Si 0.000 0.500 0.236
P1 P 0.000 0.500 0.659
Pt1 Pt 0.000 0.000 0.404
```

5.
The following is a DFT calculation (PBE) of a geometry-optimized SiP2Pt structure.

Calculated values
- Relative energy among the computed polymorphs: 2.35 eV per formula unit
- Spin magnetization: 0.00 μB/cell
- Calculated total energy: -42.13 eV per cell
- ΔE_f (raw): 0.30 eV/atom

The structure in CIF format:
```
data_SiP2Pt
_space_group_name_H-M_alt 'I m m m'
_space_group_IT_number 71
_space_group_name_Hall '-I 2 2'
_cell_length_a 2.678
_cell_length_b 4.826
_cell_length_c 9.321
_cell_angle_alpha 90.00
_cell_angle_beta 90.00
_cell_angle_gamma 90.00
loop_
_atom_site_label
_atom_site_type_symbol
_atom_site_fract_x
_atom_site_fract_y
_atom_site_fract_z
Si1 Si 0.000 0.000 0.000
P1 P 0.000 0.500 0.239
Pt1 Pt 0.000 0.000 0.500
```

6.
The following is a DFT calculation (PBE) of a geometry-optimized SiP2Pt structure.

Calculated values
- Relative energy among the computed polymorphs: 2.58 eV per formula unit
- Spin magnetization: 0.00 μB/cell
- Calculated total energy: -41.68 eV per cell
- ΔE_f (raw): 0.36 eV/atom

The structure in CIF format:
```
data_SiP2Pt
_space_group_name_H-M_alt 'I -4 m 2'
_space_group_IT_number 119
_space_group_name_Hall 'I -4 -2'
_cell_length_a 4.140
_cell_length_b 4.140
_cell_length_c 6.921
_cell_angle_alpha 90.00
_cell_angle_beta 90.00
_cell_angle_gamma 90.00
loop_
_atom_site_label
_atom_site_type_symbol
_atom_site_fract_x
_atom_site_fract_y
_atom_site_fract_z
Si1 Si 0.000 0.000 0.000
P1 P 0.000 0.000 0.500
P2 P 0.000 0.500 0.750
Pt1 Pt 0.000 0.500 0.250
```

7.
The following is a DFT calculation (PBE) of a geometry-optimized SiPPt2 structure.

Calculated values
- Spin magnetization: 0.00 μB/cell
- Calculated total energy: -71.54 eV per cell
- ΔE_f (raw): -0.23 eV/atom

The structure in CIF format:
```
data_SiPPt2
_space_group_name_H-M_alt 'R -3 m'
_space_group_IT_number 166
_space_group_name_Hall '-R 3 2"'
_cell_length_a 3.5728
_cell_length_b 3.5728
_cell_length_c 17.4393
_cell_angle_alpha 90.00
_cell_angle_beta 90.00
_cell_angle_gamma 120.00
loop_
_atom_site_label
_atom_site_type_symbol
_atom_site_fract_x
_atom_site_fract_y
_atom_site_fract_z
Si1 Si 0.0000 0.0000 0.0000
P1 P 0.0000 0.0000 0.5000
Pt1 Pt 0.0000 0.0000 0.2530
```

8.
The following is a DFT calculation (PBE) of a geometry-optimized SiP2Pt structure.

Calculated values
- Relative energy among the computed polymorphs: 2.40 eV per formula unit
- Spin magnetization: 0.00 μB/cell
- Calculated total energy: -21.02 eV per cell
- ΔE_f (raw): 0.32 eV/atom

The structure in CIF format:
```
data_SiP2Pt
_space_group_name_H-M_alt 'P m m m'
_space_group_IT_number 47
_cell_length_a 2.667
_cell_length_b 4.703
_cell_length_c 4.724
_cell_angle_alpha 90.00
_cell_angle_beta 90.00
_cell_angle_gamma 90.00
loop_
_space_group_symop_operation_xyz
'x,y,z'
'-x,-y,-z'
'-x,-y,z'
'x,y,-z'
'x,-y,-z'
'-x,y,z'
'-x,y,-z'
'x,-y,z'
loop_
_atom_site_label
_atom_site_type_symbol
_atom_site_fract_x
_atom_site_fract_y
_atom_site_fract_z
Si1 Si 0.000 0.000 0.000
P1 P 0.000 0.500 0.500
P2 P 0.500 0.000 0.500
Pt1 Pt 0.500 0.500 0.000
```